# 1
## BeCr2Mo (PBE-GGA)

Data for a relaxed BeCr2Mo crystal.

a b c (Å): 4.744 4.744 4.070
angles (deg): 64.65 64.65 36.53
Fractional positions:
Mo  0.490  0.490  0.510
Be  0.258  0.258  0.243
Cr  0.740  0.740  0.759
Cr  0.012  0.012  0.988

## Properties
Density of states at the Fermi level, states/eV per cell: 3.0
DFT formation energy, eV per atom: 0.134
Total magnetization, μB per formula unit: 0.0



# 2
## PmAs2Cl8 (PBE-GGA)

Data for a relaxed PmAs2Cl8 crystal.

a b c (Å): 7.317 7.846 7.846
angles (deg): 75.81 74.72 74.72
Fractional positions:
Cl  0.300  0.787  0.787
Cl  0.212  0.258  0.889
Cl  0.700  0.213  0.213
Cl  0.788  0.742  0.111
Cl  0.790  0.668  0.668
Cl  0.788  0.111  0.742
Cl  0.210  0.332  0.332
Cl  0.212  0.889  0.258
As  0.409  0.158  0.158
As  0.591  0.842  0.842
Pm  0.000  0.000  0.000

## Properties
Density of states at the Fermi level, states/eV per cell: 5.9
Total magnetization, μB per formula unit: 1.0
Formation energy (no corrections), kJ/mol of atoms: -101



# 3
## Nd2Ho6Tm5 (PBE-GGA)

Data for a relaxed Nd2Ho6Tm5 crystal.

a b c (Å): 3.560 11.625 20.025
angles (deg): 90.00 90.00 90.00
Fractional positions:
Tm  0.500  0.904  0.778
Tm  0.500  0.500  0.000
Tm  0.500  0.700  0.551
Tm  0.500  0.200  0.949
Tm  0.500  0.300  0.449
Tm  0.500  0.000  0.500
Tm  0.500  0.096  0.222
Tm  0.500  0.596  0.278
Tm  0.500  0.404  0.722
Tm  0.500  0.800  0.051
Ho  0.000  0.059  0.078
Ho  0.500  0.323  0.126
Ho  0.000  0.559  0.422
Ho  0.000  0.581  0.134
Ho  0.000  0.419  0.866
Ho  0.500  0.677  0.874
Ho  0.500  0.177  0.626
Ho  0.000  0.441  0.578
Ho  0.000  0.919  0.634
Ho  0.000  0.941  0.922
Ho  0.000  0.081  0.366
Ho  0.500  0.823  0.374
Nd  0.000  0.165  0.784
Nd  0.000  0.335  0.284
Nd  0.000  0.665  0.716
Nd  0.000  0.835  0.216

## Properties
Density of states at the Fermi level, states/eV per cell: 34.0
DFT formation energy, eV per atom: 0.102
Total magnetization, μB per formula unit: 0.0



# 4
## Al2CrSe (PBE-GGA)

Data for a relaxed Al2CrSe crystal.

a b c (Å): 5.114 5.114 5.114
angles (deg): 142.98 127.54 65.93
Fractional positions:
Al  0.003  0.003  0.000
Al  0.497  0.497  0.000
Cr  0.750  0.250  0.500
Se  0.250  0.750  0.500

## Properties
Density of states at the Fermi level, states/eV per cell: 2.4
Excess energy over the best structure of this formula in the dataset, meV/atom: 149
Total magnetization, μB per formula unit: 1.9
Formation energy (no corrections), kJ/mol of atoms: 11



# 5
## CeIrPt3 (PBE-GGA)

Data for a relaxed CeIrPt3 crystal.

a b c (Å): 5.238 7.865 5.055
angles (deg): 90.00 90.00 90.00
Fractional positions:
Pt  0.500  0.500  0.000
Pt  0.500  0.000  0.500
Pt  0.000  0.171  0.000
Pt  0.000  0.671  0.500
Pt  0.000  0.329  0.500
Pt  0.000  0.829  0.000
Ce  0.500  0.000  0.000
Ce  0.500  0.500  0.500
Ir  0.000  0.500  0.000
Ir  0.000  0.000  0.500

## Properties
Density of states at the Fermi level, states/eV per cell: 12.0
DFT formation energy, eV per atom: -0.258
Total magnetization, μB per formula unit: 0.2



# 6
## InTeSI2 (PBE-GGA)

Data for a relaxed InTeSI2 crystal.

a b c (Å): 5.933 5.933 5.885
angles (deg): 90.00 90.00 90.00
Fractional positions:
I  0.500  0.000  0.000
I  0.000  0.500  0.000
Te  0.000  0.000  0.500
S  0.500  0.500  0.500
In  0.000  0.000  0.000

## Properties
Density of states at the Fermi level, states/eV per cell: 4.2
Excess energy over the best structure of this formula in the dataset, meV/atom: 361
Total magnetization, μB per formula unit: 3.3
Formation energy (no corrections), kJ/mol of atoms: 53



# 7
## NbFe4Ni15 (PBE-GGA)

Data for a relaxed NbFe4Ni15 crystal.

a b c (Å): 3.584 3.584 17.761
angles (deg): 90.00 90.00 90.00
Fractional positions:
Ni  0.000  0.500  0.895
Ni  0.000  0.500  0.697
Ni  0.000  0.500  0.105
Ni  0.500  0.000  0.303
Ni  0.500  0.500  0.402
Ni  0.500  0.000  0.105
Ni  0.000  0.500  0.303
Ni  0.500  0.500  0.000
Ni  0.500  0.000  0.500
Ni  0.500  0.500  0.796
Ni  0.500  0.000  0.697
Ni  0.000  0.500  0.500
Ni  0.500  0.500  0.598
Ni  0.500  0.500  0.204
Ni  0.500  0.000  0.895
Fe  0.000  0.000  0.598
Fe  0.000  0.000  0.793
Fe  0.000  0.000  0.207
Fe  0.000  0.000  0.402
Nb  0.000  0.000  0.000

## Properties
Density of states at the Fermi level, states/eV per cell: 10.6
DFT formation energy, eV per atom: -0.116
Total magnetization, μB per formula unit: 19.1



# 8
## PmEr2ThSe4 (PBE-GGA)

Data for a relaxed PmEr2ThSe4 crystal.

a b c (Å): 4.053 7.292 7.063
angles (deg): 71.30 90.00 90.00
Fractional positions:
Se  0.000  0.766  0.745
Se  0.500  0.233  0.757
Se  0.000  0.234  0.255
Se  0.500  0.767  0.243
Er  0.000  0.000  0.000
Er  0.500  0.000  0.500
Th  0.000  0.500  0.500
Pm  0.500  0.500  0.000

## Properties
Density of states at the Fermi level, states/eV per cell: 4.1
Total magnetization, μB per formula unit: 0.0
Formation energy (no corrections), kJ/mol of atoms: -163